No. 1
Computed, not measured: a geometry-optimized TlCu2Te structure at the PBE-GGA level of DFT.

**Formation energy (no corrections)**: 270.8 meV per atom
**V**: 175 Å³ per cell
**Symmetry**: Immm (71)
**Energy relative to the lowest polymorph listed for this composition**: 0.207 eV/atom

```
TlCu2Te
1.0
4.227 0.000 0.000
0.000 5.890 0.000
0.000 0.000 7.029
Tl Cu Te
2 4 2
Direct
0.000 0.000 0.000
0.500 0.500 0.500
0.000 0.500 0.240
0.000 0.500 0.760
0.500 0.000 0.260
0.500 0.000 0.740
0.000 0.000 0.500
0.500 0.500 0.000
```

---

No. 2
Computed, not measured: a geometry-optimized Tl2CuTe structure at the PBE-GGA level of DFT.

**Formation energy (no corrections)**: 168.8 meV per atom
**V**: 108 Å³ per cell
**Symmetry**: P4/mmm (123)
**Energy relative to the lowest polymorph listed for this composition**: 0.213 eV/atom

```
Tl2CuTe
1.0
4.522 0.000 0.000
0.000 4.522 0.000
0.000 0.000 5.272
Tl Cu Te
2 1 1
Direct
0.000 0.500 0.000
0.500 0.000 0.000
0.000 0.000 0.500
0.500 0.500 0.500
```

---

No. 3
Computed, not measured: a geometry-optimized TlCu2Te2 structure at the PBE-GGA level of DFT.

**Formation energy (no corrections)**: -65.9 meV per atom
**V**: 126 Å³ per cell
**Symmetry**: P4/mmm (123)
**Energy relative to the lowest polymorph listed for this composition**: 0.090 eV/atom

```
TlCu2Te2
1.0
3.956 0.000 0.000
0.000 3.956 0.000
0.000 0.000 8.041
Tl Cu Te
1 2 2
Direct
0.000 0.000 0.000
0.000 0.500 0.500
0.500 0.000 0.500
0.500 0.500 0.277
0.500 0.500 0.723
```

---

No. 4
Computed, not measured: a geometry-optimized Tl2CuTe structure at the PBE-GGA level of DFT.

**Formation energy (no corrections)**: 214.6 meV per atom
**V**: 217 Å³ per cell
**Symmetry**: I-4m2 (119)
**Energy relative to the lowest polymorph listed for this composition**: 0.258 eV/atom

```
Tl2CuTe
1.0
4.874 0.000 0.000
0.000 4.874 0.000
0.000 0.000 9.152
Tl Cu Te
4 2 2
Direct
0.000 0.000 0.000
0.000 0.500 0.250
0.500 0.000 0.750
0.500 0.500 0.500
0.000 0.500 0.750
0.500 0.000 0.250
0.000 0.000 0.500
0.500 0.500 0.000
```

---

No. 5
Computed, not measured: a geometry-optimized Tl2CuTe2 structure at the PBE-GGA level of DFT.

**Formation energy (no corrections)**: 368.5 meV per atom
**V**: 308 Å³ per cell
**Symmetry**: I4/mmm (139)

```
Tl2CuTe2
1.0
4.382 0.000 0.000
0.000 4.382 0.000
0.000 0.000 16.064
Tl Cu Te
4 2 4
Direct
0.000 0.500 0.250
0.000 0.500 0.750
0.500 0.000 0.250
0.500 0.000 0.750
0.000 0.000 0.000
0.500 0.500 0.500
0.000 0.000 0.411
0.000 0.000 0.589
0.500 0.500 0.089
0.500 0.500 0.911
```

---

No. 6
Computed, not measured: a geometry-optimized TlCu3Te2 structure at the PBE-GGA level of DFT.

**Formation energy (no corrections)**: -107.2 meV per atom
**V**: 281 Å³ per cell
**Symmetry**: P-1 (2)

```
TlCu3Te2
1.0
4.223 0.000 0.000
-1.766 8.044 0.000
-0.463 -3.048 8.268
Tl Cu Te
2 6 4
Direct
0.117 0.272 0.061
0.883 0.728 0.939
0.098 0.123 0.421
0.299 0.612 0.531
0.365 0.841 0.398
0.635 0.159 0.602
0.701 0.388 0.469
0.902 0.877 0.579
0.229 0.396 0.692
0.457 0.952 0.766
0.543 0.048 0.234
0.771 0.604 0.308
```